Entry 1:
VASP calculation (GGA-PBE) on LaSnSe3 after structural relaxation.

Output
- Symmetry: Pnma (62)
- Calculated volume: 523 Å³/cell
- Fermi-level density of states: 0.2969 states/eV per atom
- Relative energy among the computed polymorphs: 0 meV/atom
- Uncorrected formation energy: -27.1 kcal/mol of atoms
- Uncorrected energy: -5.053 eV/atom

Lattice parameters (Å, degrees): 8.283 4.346 14.533 90.00 90.00 90.00
Atoms (fractional coordinates):
La (0.095, 0.250, 0.169)
La (0.405, 0.750, 0.669)
La (0.595, 0.250, 0.331)
La (0.905, 0.750, 0.831)
Sn (0.158, 0.750, 0.439)
Sn (0.342, 0.250, 0.939)
Sn (0.658, 0.750, 0.061)
Sn (0.842, 0.250, 0.561)
Se (0.032, 0.750, 0.626)
Se (0.142, 0.750, 0.009)
Se (0.176, 0.250, 0.779)
Se (0.324, 0.750, 0.279)
Se (0.358, 0.250, 0.509)
Se (0.468, 0.250, 0.126)
Se (0.532, 0.750, 0.874)
Se (0.642, 0.750, 0.491)
Se (0.676, 0.250, 0.721)
Se (0.824, 0.750, 0.221)
Se (0.858, 0.250, 0.991)
Se (0.968, 0.250, 0.374)

***

Entry 2:
VASP calculation (GGA-PBE) on LaSn6Se8 after structural relaxation.

Output
- Symmetry: R-3 (148)
- Calculated volume: 481 Å³/cell
- Fermi-level density of states: 0.5288 states/eV per atom
- Uncorrected formation energy: -13.6 kcal/mol of atoms
- Uncorrected energy: -4.377 eV/atom

Lattice parameters (Å, degrees): 7.943 7.943 7.943 80.14 80.14 80.14
Atoms (fractional coordinates):
La (0.000, 0.000, 0.000)
Sn (0.137, 0.614, 0.373)
Sn (0.373, 0.137, 0.614)
Sn (0.386, 0.627, 0.863)
Sn (0.614, 0.373, 0.137)
Sn (0.627, 0.863, 0.386)
Sn (0.863, 0.386, 0.627)
Se (0.132, 0.333, 0.820)
Se (0.180, 0.868, 0.667)
Se (0.289, 0.289, 0.289)
Se (0.333, 0.820, 0.132)
Se (0.667, 0.180, 0.868)
Se (0.711, 0.711, 0.711)
Se (0.820, 0.132, 0.333)
Se (0.868, 0.667, 0.180)

***

Entry 3:
VASP calculation (GGA-PBE) on La2SnSe5 after structural relaxation.

Output
- Symmetry: Pbam (55)
- Calculated volume: 416 Å³/cell
- Fermi-level density of states: 0.1000 states/eV per atom
- Relative energy among the computed polymorphs: 0 meV/atom
- Uncorrected formation energy: -32.8 kcal/mol of atoms
- Uncorrected energy: -5.332 eV/atom

Lattice parameters (Å, degrees): 8.250 11.887 4.245 90.00 90.00 90.00
Atoms (fractional coordinates):
La (0.078, 0.170, 0.000)
La (0.422, 0.670, 0.000)
La (0.578, 0.330, 0.000)
La (0.922, 0.830, 0.000)
Sn (0.000, 0.500, 0.500)
Sn (0.500, 0.000, 0.500)
Se (0.000, 0.000, 0.500)
Se (0.144, 0.708, 0.500)
Se (0.197, 0.433, 0.000)
Se (0.303, 0.933, 0.000)
Se (0.356, 0.208, 0.500)
Se (0.500, 0.500, 0.500)
Se (0.644, 0.792, 0.500)
Se (0.697, 0.067, 0.000)
Se (0.803, 0.567, 0.000)
Se (0.856, 0.292, 0.500)

***

Entry 4:
VASP calculation (GGA-PBE) on La6SnSe4 after structural relaxation.

Output
- Symmetry: Cmcm (63)
- Calculated volume: 678 Å³/cell
- Fermi-level density of states: 0.8009 states/eV per atom
- Uncorrected formation energy: -36.8 kcal/mol of atoms
- Uncorrected energy: -5.913 eV/atom

Lattice parameters (Å, degrees): 7.382 7.382 21.880 90.00 90.00 145.37
Atoms (fractional coordinates):
La (0.000, 0.000, 0.000)
La (0.000, 0.000, 0.500)
La (0.169, 0.831, 0.750)
La (0.270, 0.730, 0.087)
La (0.270, 0.730, 0.413)
La (0.454, 0.546, 0.662)
La (0.454, 0.546, 0.838)
La (0.546, 0.454, 0.162)
La (0.546, 0.454, 0.338)
La (0.730, 0.270, 0.587)
La (0.730, 0.270, 0.913)
La (0.831, 0.169, 0.250)
Sn (0.163, 0.837, 0.250)
Sn (0.837, 0.163, 0.750)
Se (0.092, 0.908, 0.624)
Se (0.092, 0.908, 0.876)
Se (0.362, 0.638, 0.539)
Se (0.362, 0.638, 0.961)
Se (0.638, 0.362, 0.039)
Se (0.638, 0.362, 0.461)
Se (0.908, 0.092, 0.124)
Se (0.908, 0.092, 0.376)